(1)
A plane-wave DFT calculation with meta-GGA SCAN was carried out for a crystal of ReNi2Ir relaxed with PBEsol.

## Properties
- Space group: No. 12
- Uncorrected energy: -174.55 eV/cell

Cell and atoms, written as extended XYZ:
```
4
Lattice="4.2398 -1.3223 0.0000 4.2398 1.3223 0.0000 -0.8234 0.0000 4.4801" Properties=species:S:1:pos:R:3 pbc="T T T"
Re 0.0000 0.0000 0.0000
Ni 1.4879 0.0000 3.4082
Ni 6.1682 0.0000 1.0719
Ir 3.8280 0.0000 2.2401
```

(2)
A plane-wave DFT calculation with meta-GGA SCAN was carried out for a crystal of NiIrRh2 relaxed with PBEsol.

## Properties
- Space group: No. 47
- Uncorrected energy: -154.79 eV/cell

Cell and atoms, written as extended XYZ:
```
4
Lattice="2.6687 0.0000 0.0000 0.0000 3.7091 0.0000 0.0000 0.0000 5.2284" Properties=species:S:1:pos:R:3 pbc="T T T"
Ni 0.0000 0.0000 0.0000
Ir 0.0000 0.0000 2.6142
Rh 1.3344 1.8545 1.2824
Rh 1.3344 1.8545 3.9460
```

(3)
A plane-wave DFT calculation with meta-GGA SCAN was carried out for a crystal of Ni2IrRh relaxed with PBEsol.

## Properties
- Space group: No. 25
- Uncorrected energy: -137.07 eV/cell

Cell and atoms, written as extended XYZ:
```
4
Lattice="2.6352 0.0000 0.0000 0.0000 3.6475 0.0000 0.0000 0.0000 5.0757" Properties=species:S:1:pos:R:3 pbc="T T T"
Ni 0.0000 0.0000 0.0000
Ni 1.3176 1.8238 1.2226
Ir 1.3176 1.8238 3.8168
Rh 0.0000 0.0000 2.5003
```

Calculated DFT formation energy in order - -1, 7, 38 meV per atom